Record 1
Density functional theory data (PBE-GGA) for a relaxed Ta2VAu crystal.

Cell lengths 3.909, 3.909, 19.287 Å; angles 90.00, 90.00, 90.00 degrees
Space group I-42d (No. 122)
Symmetry-distinct sites (fractional):
1 Ta 0.241 0.250 0.125 [8 per cell]
2 V 0.000 0.000 0.000 [4 per cell]
3 Au 0.000 0.000 0.500 [4 per cell]

Summary:
For the density of states at the Fermi level, the calculation gives 12.949 states/eV/cell. Its density is 13.7 g/cm³. The total energy comes out at -8.427 eV/atom.



Record 2
Density functional theory data (PBE-GGA) for a relaxed PrThIn2 crystal.

Cell lengths 3.558, 3.558, 9.149 Å; angles 90.00, 90.00, 90.00 degrees
Space group P4/mmm (No. 123)
Symmetry-distinct sites (fractional):
1 Pr 0.000 0.000 0.000 [1 per cell]
2 Th 0.000 0.000 0.500 [1 per cell]
3 In 0.500 0.500 0.250 [2 per cell]

Summary:
For the density of states at the Fermi level, the calculation gives 4.230 states/eV/cell. Its density is 8.6 g/cm³. The total energy comes out at -4.799 eV/atom.



Record 3
Density functional theory data (PBE-GGA) for a relaxed BaNaS3 crystal.

Cell lengths 5.093, 5.093, 5.093 Å; angles 90.00, 90.00, 90.00 degrees
Space group Pm-3m (No. 221)
Symmetry-distinct sites (fractional):
1 Ba 0.000 0.000 0.000 [1 per cell]
2 Na 0.500 0.500 0.500 [1 per cell]
3 S 0.000 0.500 0.500 [3 per cell]

Summary:
For the density of states at the Fermi level, the calculation gives 3.120 states/eV/cell. Its density is 3.2 g/cm³. The value obtained for the energy relative to the elements, uncorrected is -2.4 eV per formula unit.



Record 4
Density functional theory data (PBE-GGA) for a relaxed ScCo2TePt crystal.

Cell lengths 4.366, 4.366, 5.272 Å; angles 90.00, 90.00, 90.00 degrees
Space group P4/mmm (No. 123)
Symmetry-distinct sites (fractional):
1 Sc 0.000 0.000 0.000 [1 per cell]
2 Co 0.000 0.500 0.000 [2 per cell]
3 Te 0.000 0.000 0.500 [1 per cell]
4 Pt 0.500 0.500 0.500 [1 per cell]

Summary:
For the density of states at the Fermi level, the calculation gives 6.498 states/eV/cell. Its density is 8.0 g/cm³. The value obtained for the energy relative to the elements, uncorrected is 5.5 eV per formula unit.



Record 5
Density functional theory data (PBE-GGA) for a relaxed CrInTe2I crystal.

Cell lengths 5.690, 5.690, 5.906 Å; angles 90.00, 90.00, 90.00 degrees
Space group P4/mmm (No. 123)
Symmetry-distinct sites (fractional):
1 Cr 0.000 0.000 0.000 [1 per cell]
2 In 0.500 0.500 0.500 [1 per cell]
3 Te 0.000 0.500 0.500 [2 per cell]
4 I 0.500 0.500 0.000 [1 per cell]

Summary:
For the density of states at the Fermi level, the calculation gives 6.307 states/eV/cell. Its density is 4.8 g/cm³. The value obtained for the energy relative to the elements, uncorrected is 3.1 eV per formula unit.



Record 6
Density functional theory data (PBE-GGA) for a relaxed Tb4PrS5 crystal.

Cell lengths 3.957, 5.607, 19.862 Å; angles 90.00, 90.00, 90.00 degrees
Space group Immm (No. 71)
Symmetry-distinct sites (fractional):
1 Tb 0.000 0.000 0.100 [4 per cell]
2 Tb 0.000 0.000 0.298 [4 per cell]
3 Pr 0.000 0.000 0.500 [2 per cell]
4 S 0.000 0.500 0.106 [4 per cell]
5 S 0.000 0.500 0.301 [4 per cell]
6 S 0.000 0.500 0.500 [2 per cell]

Summary:
For the density of states at the Fermi level, the calculation gives 9.269 states/eV/cell. Its density is 7.1 g/cm³. The value obtained for the energy relative to the elements, uncorrected is -20.0 eV per formula unit.



Record 7
Density functional theory data (PBE-GGA) for a relaxed Pu3Zn9Ir2 crystal.

Cell lengths 4.441, 9.503, 11.885 Å; angles 90.00, 90.00, 90.00 degrees
Space group Immm (No. 71)
Symmetry-distinct sites (fractional):
1 Pu 0.000 0.000 0.000 [2 per cell]
2 Pu 0.000 0.000 0.298 [4 per cell]
3 Zn 0.000 0.281 0.127 [8 per cell]
4 Zn 0.000 0.360 0.345 [8 per cell]
5 Zn 0.000 0.500 0.000 [2 per cell]
6 Ir 0.000 0.164 0.500 [4 per cell]

Summary:
For the density of states at the Fermi level, the calculation gives 60.248 states/eV/cell. Its density is 11.3 g/cm³. The total energy comes out at -5.378 eV/atom.



Record 8
Density functional theory data (PBE-GGA) for a relaxed In2SbF crystal.

Cell lengths 5.427, 5.427, 15.018 Å; angles 90.00, 90.00, 90.00 degrees
Space group I-42d (No. 122)
Symmetry-distinct sites (fractional):
1 In 0.162 0.250 0.125 [8 per cell]
2 Sb 0.000 0.000 0.500 [4 per cell]
3 F 0.000 0.000 0.000 [4 per cell]

Summary:
For the density of states at the Fermi level, the calculation gives 3.121 states/eV/cell. Its density is 5.6 g/cm³. The value obtained for the energy relative to the elements, uncorrected is -2.7 eV per formula unit.